# GGA-PBE LiAg2F6, optimized geometry
# V: 270 Å³ per cell
# Mass density: 4.1 Mg/m³
# N(E_F): 6.613 states/eV per cell
# Space group: C2/c, No. 15
# E_form (uncorrected): -1.453 eV/atom
data_LiAg2F6
_cell_length_a 6.096
_cell_length_b 6.851
_cell_length_c 6.851
_cell_angle_alpha 70.97
_cell_angle_beta 88.80
_cell_angle_gamma 88.80
_symmetry_space_group_name_H-M 'P 1'
_symmetry_Int_Tables_number 1
_symmetry_space_group_name_Hall 'P 1'
loop_
_atom_site_label
_atom_site_type_symbol
_atom_site_fract_x
_atom_site_fract_y
_atom_site_fract_z
Li1 Li 0.250 0.106 0.894
Li2 Li 0.750 0.894 0.106
Ag1 Ag 0.249 0.609 0.907
Ag2 Ag 0.251 0.093 0.391
Ag3 Ag 0.751 0.391 0.093
Ag4 Ag 0.749 0.907 0.609
F1 F 0.324 0.805 0.608
F2 F 0.176 0.392 0.195
F3 F 0.676 0.195 0.392
F4 F 0.824 0.608 0.805
F5 F 0.899 0.837 0.380
F6 F 0.601 0.620 0.163
F7 F 0.101 0.163 0.620
F8 F 0.399 0.380 0.837
F9 F 0.090 0.833 0.983
F10 F 0.410 0.017 0.167
F11 F 0.910 0.167 0.017
F12 F 0.590 0.983 0.833